# Al2TlV2

Crystalline Al2TlV2 at its relaxed geometry (PBE, Alexandria via LeMat-Bulk).

The calculation puts the total DFT energy (no corrections) at -54.4 eV/cell. The excess energy over the best structure of this formula in the dataset is 0 meV/atom.

Unit cell a=7.172 b=7.172 c=3.325 alpha=90.00 beta=90.00 gamma=90.00
Sites, in units of the cell vectors:
Tl 0.000 0.000 0.000
Al 0.178 0.678 0.500
Al 0.678 0.822 0.500
Tl 0.500 0.500 0.000
Al 0.322 0.178 0.500
V 0.887 0.613 0.000
V 0.113 0.387 0.000
Al 0.822 0.322 0.500
V 0.613 0.113 0.000
V 0.387 0.887 0.000